(1)
# Tl2HgRh

A relaxed structure of Tl2HgRh (GGA-PBE, Alexandria).

Geometry as POSCAR:
```
Tl2HgRh
1.0
7.126 0.000 0.000
0.000 7.126 0.000
0.000 0.000 7.126
Tl Hg Rh
8 4 4
direct
0.000 0.000 0.000
0.000 0.500 0.500
0.250 0.250 0.250
0.250 0.750 0.750
0.500 0.000 0.500
0.500 0.500 0.000
0.750 0.250 0.750
0.750 0.750 0.250
0.250 0.250 0.750
0.250 0.750 0.250
0.750 0.250 0.250
0.750 0.750 0.750
0.000 0.000 0.500
0.000 0.500 0.000
0.500 0.000 0.000
0.500 0.500 0.500
```

The calculation puts the formation energy at 0.317 eV per atom. The space group is No. 216. The value obtained for the density of states at the Fermi level is 0.29 states/eV/atom.

(2)
# NaAl2Cl

A relaxed structure of NaAl2Cl (GGA-PBE, Alexandria).

Geometry as POSCAR:
```
NaAl2Cl
1.0
7.387 0.000 0.000
0.000 7.387 0.000
0.000 0.000 7.387
Na Al Cl
4 8 4
direct
0.000 0.000 0.000
0.000 0.500 0.500
0.500 0.000 0.500
0.500 0.500 0.000
0.250 0.250 0.250
0.250 0.250 0.750
0.250 0.750 0.250
0.250 0.750 0.750
0.750 0.250 0.250
0.750 0.250 0.750
0.750 0.750 0.250
0.750 0.750 0.750
0.000 0.000 0.500
0.000 0.500 0.000
0.500 0.000 0.000
0.500 0.500 0.500
```

The uncorrected formation energy comes out at 1.19 eV per formula unit. The space group is No. 225. The value obtained for the density of states at the Fermi level is 0.72 states/eV/atom.

(3)
# RbSrGaCl2

A relaxed structure of RbSrGaCl2 (GGA-PBE, Alexandria).

Geometry as POSCAR:
```
RbSrGaCl2
1.0
5.542 0.000 0.000
0.000 5.542 0.000
0.000 0.000 10.289
Rb Sr Ga Cl
1 1 1 2
direct
0.000 0.000 0.000
0.000 0.000 0.500
0.500 0.500 0.000
0.000 0.500 0.500
0.500 0.000 0.500
```

The uncorrected formation energy comes out at -4.74 eV per formula unit. The space group is No. 123. The value obtained for the density of states at the Fermi level is 0.42 states/eV/atom.